No. 1
## ErTm3Th4 (PBE)

Data for a relaxed ErTm3Th4 crystal. Values from VASP.

Calculated values
Energy relative to the lowest polymorph listed for this composition = 0.090 eV/atom
Theoretical density = 10.544 g/cm³

```
&SYSTEM
  ibrav = 0, nat = 8, ntyp = 3
/
ATOMIC_SPECIES
Tm 168.93 Tm.upf
Th 232.04 Th.upf
Er 167.26 Er.upf
CELL_PARAMETERS angstrom
0.8091 3.3088 -0.0298
1.5489 -0.4794 -11.1682
-7.4912 0.1204 4.6600
ATOMIC_POSITIONS angstrom
Tm 0.7744 -0.2397 -5.5841
Tm -2.9568 0.7191 -0.4390
Tm -2.1764 2.2307 -6.0990
Th -4.2932 1.0187 -3.4583
Th -0.8400 1.9311 -3.0797
Th -0.0726 1.6937 -8.6095
Th -5.0606 1.2562 2.0715
Er 0.4046 1.6544 -0.0149
```

No. 2
## In2Bi2Pb5 (PBE)

Data for a relaxed In2Bi2Pb5 crystal. Values from VASP.

Calculated values
Energy relative to the lowest polymorph listed for this composition = 0.000 eV/atom
Theoretical density = 9.995 g/cm³

```
&SYSTEM
  ibrav = 0, nat = 9, ntyp = 3
/
ATOMIC_SPECIES
In 114.82 In.upf
Bi 208.98 Bi.upf
Pb 207.20 Pb.upf
CELL_PARAMETERS angstrom
1.0899 -1.8110 -4.9836
0.9941 -6.4698 2.5685
-8.1181 2.3400 0.3142
ATOMIC_POSITIONS angstrom
In -2.9901 -4.5184 -1.9520
In -3.0440 -1.4225 -0.1488
Bi -1.7940 -0.4644 -3.1636
Bi -4.2401 -5.4765 1.0628
Pb -0.0780 -2.9746 -1.8761
Pb -5.9561 -2.9662 -0.2247
Pb -4.8816 -1.9178 -3.3107
Pb -1.1525 -4.0230 1.2099
Pb 0.0000 0.0000 0.0000
```

No. 3
## SiBSeS (PBE)

Data for a relaxed SiBSeS crystal. Values from VASP.

Calculated values
Raw formation energy = 88.1 meV per atom
Energy relative to the lowest polymorph listed for this composition = 0.338 eV/atom
Theoretical density = 3.423 g/cm³

```
&SYSTEM
  ibrav = 0, nat = 8, ntyp = 4
/
ATOMIC_SPECIES
S 32.06 S.upf
B 10.81 B.upf
Si 28.09 Si.upf
Se 78.96 Se.upf
CELL_PARAMETERS angstrom
-2.2989 3.4233 -3.6891
2.0065 -0.9088 -2.0937
-4.0439 -8.3229 -0.2627
ATOMIC_POSITIONS angstrom
S -2.8688 2.1352 -3.6761
S -3.8875 -2.4806 -4.8543
B -4.3578 -1.0077 -3.7388
B -1.3326 2.6993 -4.6543
Si -2.1503 -2.5269 -0.9639
Si -3.1690 -7.1427 -2.1421
Se -2.8246 -0.7227 -2.3932
Se -3.8433 -5.3385 -3.5714
```

No. 4
## HfBe9Ir2 (PBE)

Data for a relaxed HfBe9Ir2 crystal. Values from VASP.

Calculated values
Energy relative to the lowest polymorph listed for this composition = 0.000 eV/atom
Theoretical density = 9.061 g/cm³

```
&SYSTEM
  ibrav = 0, nat = 24, ntyp = 3
/
ATOMIC_SPECIES
Hf 178.49 Hf.upf
Be 9.01 Be.upf
Ir 192.22 Ir.upf
CELL_PARAMETERS angstrom
4.4222 0.0000 0.0000
-2.2111 3.8298 0.0000
0.0000 0.0000 13.9377
ATOMIC_POSITIONS angstrom
Hf 0.0000 2.5532 10.4533
Hf 2.2111 1.2766 3.4844
Be 0.0000 0.0000 0.0000
Be 0.0000 0.0000 6.9689
Be 0.0000 0.0000 3.4844
Be 0.0000 0.0000 10.4533
Be 0.0000 2.5532 3.4844
Be 2.2111 1.2766 10.4533
Be 0.0000 1.2999 1.6728
Be 1.0854 3.1798 1.6728
Be -1.0854 3.1798 1.6728
Be 2.2111 2.5299 8.6417
Be 1.1258 0.6500 8.6417
Be 3.2965 0.6500 8.6417
Be 1.1258 0.6500 12.2649
Be 2.2111 2.5299 12.2649
Be 3.2965 0.6500 12.2649
Be 1.0854 3.1798 5.2961
Be 0.0000 1.2999 5.2961
Be -1.0854 3.1798 5.2961
Ir 0.0000 2.5532 7.5871
Ir 2.2111 1.2766 0.6182
Ir 2.2111 1.2766 6.3506
Ir 0.0000 2.5532 13.3195
```

No. 5
## IrBr2 (PBE)

Data for a relaxed IrBr2 crystal. Values from VASP.

Calculated values
Raw formation energy = 400.7 meV per atom
Theoretical density = 6.455 g/cm³

```
&SYSTEM
  ibrav = 0, nat = 6, ntyp = 2
/
ATOMIC_SPECIES
Ir 192.22 Ir.upf
Br 79.90 Br.upf
CELL_PARAMETERS angstrom
-6.0730 -1.8059 -1.2732
-4.6554 -0.7799 -4.4139
2.4279 -7.6187 -1.3930
ATOMIC_POSITIONS angstrom
Ir -8.2925 -5.0964 -5.4078
Ir -3.0412 -1.7473 -1.9435
Br -9.9393 -2.5571 -5.3216
Br -2.8901 -5.3357 -3.0475
Br -6.8563 -3.5577 -4.2569
Br -4.8454 -8.1250 -4.8413
```

No. 6
## CdIrPtO2 (PBE)

Data for a relaxed CdIrPtO2 crystal. Values from VASP.

Calculated values
Raw formation energy = 1132.0 meV per atom
Energy relative to the lowest polymorph listed for this composition = 1.167 eV/atom
Theoretical density = 10.029 g/cm³

```
&SYSTEM
  ibrav = 0, nat = 5, ntyp = 4
/
ATOMIC_SPECIES
Ir 192.22 Ir.upf
O 16.00 O.upf
Pt 195.08 Pt.upf
Cd 112.41 Cd.upf
CELL_PARAMETERS angstrom
3.9524 0.0000 0.0000
0.0000 5.6354 0.0000
0.0000 0.0000 3.9524
ATOMIC_POSITIONS angstrom
Ir 1.9762 2.8177 1.9762
O 0.0000 0.0000 1.9762
O 1.9762 0.0000 0.0000
Pt 0.0000 2.8177 0.0000
Cd 0.0000 0.0000 0.0000
```

No. 7
## Na2TcAsRu (PBE)

Data for a relaxed Na2TcAsRu crystal. Values from VASP.

Calculated values
Theoretical density = 4.079 g/cm³
Total energy = -20.03 eV for the cell shown

```
&SYSTEM
  ibrav = 0, nat = 5, ntyp = 4
/
ATOMIC_SPECIES
Ru 101.07 Ru.upf
As 74.92 As.upf
Tc 98.00 Tc.upf
Na 22.99 Na.upf
CELL_PARAMETERS angstrom
5.3715 0.0000 0.0000
0.0000 4.5144 0.0000
0.0000 0.0000 5.3715
ATOMIC_POSITIONS angstrom
Ru 0.0000 2.2572 0.0000
As 2.6858 2.2572 2.6858
Tc 0.0000 0.0000 0.0000
Na 0.0000 0.0000 2.6858
Na 2.6858 0.0000 0.0000
```

No. 8
## KYbO3 (PBE)

Data for a relaxed KYbO3 crystal. Values from VASP.

Calculated values
Raw formation energy = -1572.8 meV per atom
Theoretical density = 5.040 g/cm³

```
&SYSTEM
  ibrav = 0, nat = 5, ntyp = 3
/
ATOMIC_SPECIES
K 39.10 K.upf
Yb 173.04 Yb.upf
O 16.00 O.upf
CELL_PARAMETERS angstrom
-1.8089 1.0031 -3.8937
-3.5628 -2.3790 1.0423
-1.8638 3.5740 1.7866
ATOMIC_POSITIONS angstrom
K 0.0000 0.0000 0.0000
Yb -3.6177 1.0991 -0.5324
O -2.6858 -0.6879 -1.4257
O -1.8363 2.2886 -1.0536
O -2.7133 0.5975 1.4145
```